Record 1
Entry from Alexandria: crystalline K2TlPb2 at its relaxed geometry (PBE-GGA).

Unit cell a=8.5969 b=8.5969 c=8.5969 alpha=145.11 beta=145.11 gamma=50.17
With the nearest neighbours (Å) after each atom.
Element x y z (fractional)
K 0.2500 0.7500 0.5000  4 Pb 3.58, 4 K 3.65
K 0.7500 0.2500 0.5000  4 Pb 3.58, 4 K 3.65
Tl 0.0000 0.0000 0.0000  8 Pb 3.91
Pb 0.4095 0.4095 0.0000  1 Pb 2.82
Pb 0.5905 0.5905 0.0000  1 Pb 2.82

## Properties
* electronic total energy: -2.27 eV per atom
* SG: No. 139
* total magnetic moment: 0.0 μB/cell
* V: 206.9 Å³ per cell
* energy of formation from the pure elements: 12.1 kJ per mole of atoms

Record 2
Entry from Alexandria: crystalline Sr2Ca17Ac2 at its relaxed geometry (PBE-GGA).

Unit cell a=10.3118 b=10.3118 c=9.7789 alpha=91.69 beta=91.69 gamma=63.31
With the nearest neighbours (Å) after each atom.
Element x y z (fractional)
Sr 0.1375 0.1375 0.2189  7 Ca 3.74-4.17, 1 Ac 4.02
Sr 0.8625 0.8625 0.7811  7 Ca 3.74-4.17, 1 Ac 4.02
Ca 0.0242 0.6061 0.4081  7 Ca 3.46-3.83
Ca 0.0345 0.9655 0.5000  2 Sr 3.74, 9 Ca 3.75-3.92
Ca 0.0502 0.7996 0.1320  4 Ca 3.49-3.89, 1 Ac 3.78, 1 Sr 3.82
Ca 0.0733 0.3113 0.6021  4 Ca 3.46-3.86, 1 Ac 3.79
Ca 0.2004 0.9498 0.8680  4 Ca 3.49-3.89, 1 Ac 3.78, 1 Sr 3.82
Ca 0.2948 0.5917 0.6612  6 Ca 3.59-3.92
Ca 0.3725 0.3223 0.3032  4 Ca 3.62-4.03, 1 Sr 3.76
Ca 0.3939 0.9758 0.5919  7 Ca 3.46-3.83
Ca 0.4083 0.7052 0.3388  6 Ca 3.59-3.92
Ca 0.4519 0.5481 0.0000  8 Ca 3.59-4.02
Ca 0.4875 0.2138 0.7971  3 Ca 3.56-3.80, 2 Ac 3.91-3.93, 1 Sr 3.94
Ca 0.6777 0.6275 0.6968  4 Ca 3.62-4.03, 1 Sr 3.76
Ca 0.6877 0.3123 0.5000  11 Ca 3.69-4.10
Ca 0.6887 0.9267 0.3979  4 Ca 3.46-3.86, 1 Ac 3.79
Ca 0.7298 0.1562 0.1417  5 Ca 3.47-3.77
Ca 0.7862 0.5125 0.2029  3 Ca 3.56-3.80, 2 Ac 3.91-3.93, 1 Sr 3.94
Ca 0.8438 0.2702 0.8583  5 Ca 3.47-3.77
Ac 0.1081 0.4453 0.9601  8 Ca 3.78-4.21, 1 Sr 4.02
Ac 0.5547 0.8919 0.0399  8 Ca 3.78-4.21, 1 Sr 4.02

## Properties
* electronic total energy: -2.04 eV per atom
* SG: No. 5
* total magnetic moment: 0.0 μB/cell
* V: 928.5 Å³ per cell
* energy of formation from the pure elements: 12.9 kJ per mole of atoms

Record 3
Entry from Alexandria: crystalline TbPm4Th at its relaxed geometry (PBE-GGA).

Unit cell a=8.3653 b=8.3653 c=3.4524 alpha=90.00 beta=90.00 gamma=91.23
With the nearest neighbours (Å) after each atom.
Element x y z (fractional)
Tb 0.0000 0.0000 0.0000  6 Pm 3.08-3.28
Pm 0.2335 0.7665 0.5000  1 Th 3.19, 2 Tb 3.28, 2 Pm 3.45
Pm 0.2632 0.2632 0.0000  1 Tb 3.08, 2 Th 3.26
Pm 0.7368 0.7368 0.0000  1 Tb 3.08, 2 Th 3.26
Pm 0.7665 0.2335 0.5000  1 Th 3.19, 2 Tb 3.28, 2 Pm 3.45
Th 0.5000 0.5000 0.5000  6 Pm 3.19-3.26, 2 Th 3.45

## Properties
* electronic total energy: -4.54 eV per atom
* SG: No. 65
* total magnetic moment: 0.0 μB/cell
* V: 241.5 Å³ per cell
* energy of formation from the pure elements: 61.7 kJ per mole of atoms

Record 4
Entry from Alexandria: crystalline EuHgBi2 at its relaxed geometry (PBE-GGA).

Unit cell a=4.3897 b=4.3897 c=6.6201 alpha=90.00 beta=90.00 gamma=90.00
With the nearest neighbours (Å) after each atom.
Element x y z (fractional)
Eu 0.0000 0.0000 0.0000  2 Hg 3.31, 8 Bi 3.46
Hg 0.0000 0.0000 0.5000  2 Eu 3.31, 8 Bi 3.58
Bi 0.5000 0.5000 0.2313  1 Bi 3.06
Bi 0.5000 0.5000 0.7687  1 Bi 3.06

## Properties
* electronic total energy: -4.96 eV per atom
* SG: No. 123
* total magnetic moment: 6.9 μB/cell
* V: 127.6 Å³ per cell
* energy of formation from the pure elements: -36.6 kJ per mole of atoms